# 1
ScFe2Ru PBE-GGA relaxed; calculated total energy = -32.33 eV/f.u.
1.0
3.0766 0.0000 0.0000
0.0000 3.0766 0.0000
0.0000 0.0000 6.1393
Sc Fe Ru
1 2 1
Direct
0.0000 0.0000 0.0000
0.5000 0.5000 0.2803
0.5000 0.5000 0.7197
0.0000 0.0000 0.5000

# 2
ScFe2Ru2 PBE-GGA relaxed; offset from the most stable computed form = 0 meV/atom; calculated total energy = -41.73 eV/f.u.
1.0
7.1013 0.0000 0.0000
0.0000 7.1013 0.0000
0.0000 0.0000 2.7365
Sc Fe Ru
2 4 4
Direct
0.0000 0.0000 0.0000
0.5000 0.5000 0.0000
0.1171 0.3829 0.0000
0.3829 0.8829 0.0000
0.6171 0.1171 0.0000
0.8829 0.6171 0.0000
0.1765 0.6765 0.5000
0.3235 0.1765 0.5000
0.6765 0.8235 0.5000
0.8235 0.3235 0.5000

# 3
ScFeRu2 PBE-GGA relaxed; calculated total energy = -33.36 eV/f.u.
1.0
0.0000 3.0972 3.0972
3.0972 0.0000 3.0972
3.0972 3.0972 0.0000
Sc Fe Ru
1 1 2
Direct
0.0000 0.0000 0.0000
0.7500 0.7500 0.7500
0.2500 0.2500 0.2500
0.5000 0.5000 0.5000

# 4
ScFe2Ru PBE-GGA relaxed; calculated total energy = -32.31 eV/f.u.
1.0
5.1803 0.0000 0.0000
0.0000 4.6073 0.0000
-1.0250 0.0000 5.1970
Sc Fe Ru
2 4 2
Direct
0.0000 0.0000 0.0000
0.4922 0.0000 0.5026
0.5040 0.2273 0.0013
0.5040 0.7727 0.0013
0.7302 0.5000 0.7315
0.7820 0.5000 0.3015
0.1714 0.5000 0.7138
0.2438 0.5000 0.2729

# 5
ScFe2Ru PBE-GGA relaxed; calculated total energy = -31.63 eV/f.u.
1.0
1.4237 0.8220 8.2618
-1.4237 0.8220 8.2618
0.0000 -1.6439 8.2618
Sc Fe Ru
1 2 1
Direct
0.0000 0.0000 0.0000
0.4940 0.4940 0.4940
0.7546 0.7546 0.7546
0.2419 0.2419 0.2419

# 6
ScFeRu2 PBE-GGA relaxed; calculated total energy = -33.56 eV/f.u.
1.0
3.0500 0.0000 0.0000
0.0000 4.2465 0.0000
0.0000 0.0000 4.5778
Sc Fe Ru
1 1 2
Direct
0.0000 0.0000 0.0000
0.5000 0.0000 0.5000
0.0000 0.5000 0.5000
0.5000 0.5000 0.0000

# 7
ScFeRu2 PBE-GGA relaxed; calculated total energy = -33.94 eV/f.u.
1.0
3.0885 0.0000 0.0000
0.0000 3.0885 0.0000
0.0000 0.0000 6.2628
Sc Fe Ru
1 1 2
Direct
0.0000 0.0000 0.0000
0.0000 0.0000 0.5000
0.5000 0.5000 0.2754
0.5000 0.5000 0.7246

# 8
Sc6Fe2Ru PBE-GGA relaxed; calculated total energy = -66.06 eV/f.u.
1.0
-4.3092 4.4141 4.4969
4.3092 -4.4141 4.4969
4.3092 4.4141 -4.4969
Sc Fe Ru
12 4 2
Direct
0.0269 0.2052 0.8217
0.2560 0.5788 0.3228
0.2560 0.9332 0.6772
0.2650 0.3057 0.5708
0.2650 0.6943 0.9593
0.3834 0.2052 0.1783
0.6166 0.7948 0.8217
0.7350 0.3057 0.0407
0.7350 0.6943 0.4292
0.7440 0.0668 0.3228
0.7440 0.4212 0.6772
0.9731 0.7948 0.1783
0.0000 0.1336 0.1336
0.0000 0.8664 0.8664
0.3805 0.0000 0.3805
0.6195 0.0000 0.6195
0.0000 0.5000 0.5000
0.5000 0.5000 0.0000

# 9
ScFe2Ru PBE-GGA relaxed; calculated total energy = -32.54 eV/f.u.
1.0
3.0140 0.0000 0.0000
0.0000 4.1865 0.0000
-1.3857 0.0000 9.1415
Sc Fe Ru
2 4 2
Direct
0.1419 0.2500 0.2295
0.8581 0.7500 0.7705
0.2491 0.7500 0.5071
0.3365 0.2500 0.6837
0.6635 0.7500 0.3163
0.7509 0.2500 0.4929
0.2913 0.2500 0.9467
0.7087 0.7500 0.0533

# 10
Sc4FeRu3 PBE-GGA relaxed; calculated total energy = -64.94 eV/f.u.
1.0
-2.2739 2.2739 6.3948
2.2739 -2.2739 6.3948
2.2739 2.2739 -6.3948
Sc Fe Ru
4 1 3
Direct
0.1265 0.6265 0.5000
0.3735 0.8735 0.5000
0.6265 0.1265 0.5000
0.8735 0.3735 0.5000
0.0000 0.0000 0.0000
0.2469 0.2469 0.0000
0.5000 0.5000 0.0000
0.7531 0.7531 0.0000

# 11
ScFe2Ru PBE-GGA relaxed; calculated total energy = -32.61 eV/f.u.
1.0
4.2614 0.0000 0.0000
0.0000 4.2614 0.0000
0.0000 0.0000 3.1031
Sc Fe Ru
1 2 1
Direct
0.0000 0.0000 0.0000
0.0000 0.5000 0.5000
0.5000 0.0000 0.5000
0.5000 0.5000 0.0000

# 12
Sc2FeRu2 PBE-GGA relaxed; calculated total energy = -40.87 eV/f.u.
1.0
6.4220 0.0000 0.0000
0.0000 6.4220 0.0000
0.0000 0.0000 4.1552
Sc Fe Ru
4 2 4
Direct
0.1771 0.3229 0.0000
0.3229 0.8229 0.0000
0.6771 0.1771 0.0000
0.8229 0.6771 0.0000
0.0000 0.0000 0.5000
0.5000 0.5000 0.5000
0.1385 0.6385 0.5000
0.3615 0.1385 0.5000
0.6385 0.8615 0.5000
0.8615 0.3615 0.5000

> Among the records above, which one has the lowest calculated total energy?

Sc6Fe2Ru

> Which of these has the lowest calculated total energy?

Sc6Fe2Ru

> Look up the calculated total energy of the eighth one.

-66.06 eV/f.u.